1.
Material: Y2MgAl4Pt3
Method: DFT, PBE-GGA
State: relaxed

final energy = -57.07 eV per formula unit
E_form = -912 kJ/mol of formula units
D(E_F) = 5.96 states/eV per cell
total moment = 0.000 μB per atom

Cell: 4.154 4.154 11.101 Å, 90.00 90.00 90.00°
Atoms (fractional coordinates):
Y: 0.000 0.500 0.237
Y: 0.500 0.000 0.763
Mg: 0.000 0.000 0.500
Al: 0.000 0.000 0.000
Al: 0.000 0.500 0.647
Al: 0.500 0.000 0.353
Al: 0.500 0.500 0.000
Pt: 0.000 0.500 0.868
Pt: 0.500 0.000 0.132
Pt: 0.500 0.500 0.500

***

2.
Material: YMgAl2Pt4
Method: DFT, PBE-GGA
State: relaxed

final energy = -47.93 eV per formula unit
E_form = -793 kJ/mol of formula units
D(E_F) = 3.60 states/eV per cell
total moment = 0.000 μB per atom

Cell: 8.876 8.876 8.876 Å, 28.21 28.21 28.21°
Atoms (fractional coordinates):
Y: 0.000 0.000 0.000
Mg: 0.500 0.500 0.500
Al: 0.241 0.241 0.241
Al: 0.759 0.759 0.759
Pt: 0.131 0.131 0.131
Pt: 0.399 0.399 0.399
Pt: 0.601 0.601 0.601
Pt: 0.869 0.869 0.869

***

- D(E_F) of number 1 (Y2MgAl4Pt3)?
  5.96 states/eV per cell

***

- What is the final energy in the first record?
  -57.07 eV per formula unit